! Ac5Pd4Rh | the Alexandria database | PBE | relaxed; values from VASP
&SYSTEM
  ibrav = 0, nat = 10, ntyp = 3
/
ATOMIC_SPECIES
Ac 227.00 Ac.upf
Pd 106.42 Pd.upf
Rh 102.91 Rh.upf
ATOMIC_POSITIONS crystal
Ac 0.5014 0.0000 0.0000
Ac 0.9027 0.3894 0.8070
Ac 0.0991 0.6106 0.1930
Ac 0.7097 0.1930 0.3894
Ac 0.2921 0.8070 0.6106
Pd 0.8034 0.7936 0.6015
Pd 0.1984 0.2064 0.3985
Pd 0.5970 0.6015 0.2064
Pd 0.4049 0.3985 0.7936
Rh 0.0016 0.0000 0.0000
CELL_PARAMETERS angstrom
5.5923 0.0000 2.6973
2.7961 6.9373 1.3487
-0.2176 0.0000 7.5971
! ΔE_f: -0.755 eV per atom
! ρ: 9.2 Mg/m³
! space-group type: No. 87
! calculated total energy: -5.622 eV per atom